Here is a relaxed structure of Li4TaCoO6 from OQMD. Energies are from GGA+U.

Cell lengths 5.065, 8.844, 5.075 Å; angles 90.00, 108.93, 90.00 degrees
Space group C2 (No. 5)
Unique sites:
1 Li 0.000 0.000 0.000 [2 per cell]
2 Li 0.000 0.156 0.500 [2 per cell]
3 Li 0.000 0.508 0.500 [2 per cell]
4 Li 0.000 0.839 0.500 [2 per cell]
5 Ta 0.000 0.339 0.000 [2 per cell]
6 Co 0.000 0.668 0.000 [2 per cell]
7 O 0.234 0.497 0.241 [4 per cell]
8 O 0.241 0.328 0.761 [4 per cell]
9 O 0.244 0.675 0.773 [4 per cell]

Properties
**Final energy**: -79.58 eV/f.u.
**Magnetic moment**: 0.00 Bohr magnetons per cell